PBE-GGA Sr2LaMo, relaxed; DFT total energy = -15.50 eV/cell; energy of formation from the pure elements = 0.9043 eV/atom
1.0
3.402 0.000 0.000
0.000 5.445 0.000
0.000 0.000 6.833
Sr La Mo
2 1 1
Cartesian
0.000 0.000 1.569
0.000 0.000 5.263
1.701 2.722 3.416
1.701 2.722 0.000